1.
The following is a DFT calculation (PBE-GGA) of a relaxed structure of LiEr2In4.

abc: 7.4034 10.0357 5.0265
angles: 90.00 90.00 90.00
Closest atoms and distances in Å follow each position.
Space group Cmmm (No. 65)
Symmetry-distinct sites (fractional):
1 Li 0.0000 0.0000 0.0000 x2  8 In 3.12-3.31, 4 Er 3.38
2 Er 0.0000 0.2256 0.5000 x4  8 In 3.13-3.16, 2 Li 3.38
3 In 0.2086 0.5000 0.5000 x4  1 In 3.09, 4 Er 3.13-3.16, 2 Li 3.31
4 In 0.2500 0.2500 0.0000 x4  2 Li 3.12, 4 Er 3.13

* DFT total energy: -0.1266 Ha/atom
* crystal system: orthorhombic


2.
The following is a DFT calculation (PBE-GGA) of a relaxed structure of Li5ErIn6.

abc: 4.7555 7.3494 7.5826
angles: 90.00 108.15 90.00
Closest atoms and distances in Å follow each position.
Space group P2/m (No. 10)
Symmetry-distinct sites (fractional):
1 Li 0.0000 0.0000 0.0000 x1  8 In 2.88-3.04
2 Li 0.3285 0.0000 0.6571 x2  8 In 2.87-2.96
3 Li 0.3322 0.5000 0.6640 x2  8 In 3.00-3.18, 2 Li 3.35-3.36
4 Er 0.0000 0.5000 0.0000 x1  8 In 3.12-3.14, 4 Li 3.39-3.40
5 In 0.1723 0.2401 0.3431 x4  7 Li 2.87-3.05, 1 Er 3.12
6 In 0.5000 0.2203 0.0000 x2  6 Li 2.88-3.18, 2 Er 3.14

* DFT total energy: -0.1050 Ha/atom
* crystal system: monoclinic


3.
The following is a DFT calculation (PBE-GGA) of a relaxed structure of LiEr3In.

abc: 8.3456 6.6737 10.2463
angles: 90.00 107.77 90.00
Closest atoms and distances in Å follow each position.
Space group P2_1/c (No. 14)
Symmetry-distinct sites (fractional):
1 Li 0.0062 0.2486 0.0021 x4  1 In 2.94, 1 Er 3.28
2 Er 0.2175 0.0033 0.8043 x4  3 In 3.29-3.64, 6 Er 3.30-3.48, 4 Li 3.48-3.56
3 Er 0.2199 0.0030 0.3059 x4  3 In 3.29-3.62, 6 Er 3.30-3.48, 4 Li 3.49-3.56
4 Er 0.4069 0.7492 0.6019 x4  4 In 3.09-3.35, 1 Li 3.28, 6 Er 3.40-3.42
5 In 0.3766 0.2500 0.0944 x4  1 Li 2.94, 5 Er 3.09-3.29

* DFT total energy: -0.1387 Ha/atom
* crystal system: monoclinic


4.
The following is a DFT calculation (PBE-GGA) of a relaxed structure of Li2ErIn.

abc: 6.8156 6.8156 6.8156
angles: 90.00 90.00 90.00
Closest atoms and distances in Å follow each position.
Space group Fm-3m (No. 225)
Symmetry-distinct sites (fractional):
1 Li 0.2500 0.2500 0.2500 x8  4 In 2.95, 4 Er 2.95
2 Er 0.0000 0.0000 0.0000 x4  8 Li 2.95
3 In 0.0000 0.0000 0.5000 x4  8 Li 2.95

* DFT total energy: -0.1121 Ha/atom
* relative energy among the computed polymorphs: 0.000 eV per atom
* crystal system: cubic


5.
The following is a DFT calculation (PBE-GGA) of a relaxed structure of LiEr6In5.

abc: 5.2754 15.8927 7.3573
angles: 90.00 90.00 90.00
Closest atoms and distances in Å follow each position.
Space group Cmmm (No. 65)
Symmetry-distinct sites (fractional):
1 Li 0.0000 0.0000 0.0000 x2  8 Er 3.22-3.23
2 Er 0.0000 0.1674 0.2467 x8  7 In 3.21-3.31, 1 Li 3.22
3 Er 0.0000 0.5000 0.2523 x4  6 In 3.12-3.22, 2 Li 3.23
4 In 0.0000 0.0000 0.5000 x2  8 Er 3.21-3.25
5 In 0.0000 0.3331 0.5000 x4  8 Er 3.22-3.23
6 In 0.0000 0.3419 0.0000 x4  8 Er 3.12-3.31

* DFT total energy: -0.1464 Ha/atom
* crystal system: orthorhombic


6.
The following is a DFT calculation (PBE-GGA) of a relaxed structure of Li2ErIn2.

abc: 8.1752 8.1752 3.1625
angles: 90.00 90.00 90.00
Closest atoms and distances in Å follow each position.
Space group P4/mbm (No. 127)
Symmetry-distinct sites (fractional):
1 Li 0.1161 0.3839 0.0000 x4  1 Li 2.68, 6 In 2.83-2.95
2 Er 0.0000 0.0000 0.0000 x2  2 Er 3.16, 4 Li 3.28, 8 In 3.39
3 In 0.1811 0.6811 0.5000 x4  6 Li 2.83-2.95, 2 In 3.16

* DFT total energy: -0.1126 Ha/atom
* crystal system: tetragonal


no.,DOS(E_F) (states/eV per cell),E_form (kcal/mol of atoms)
1,4.7,-7.013
2,3.7,-7.138
3,19.8,-2.448
4,6.0,-6.210
5,15.6,-9.265
6,5.4,-6.679